# Ho2Ni12Ge7 | Alexandria | PBE | optimized geometry
data_Ho2Ni12Ge7
_chemical_formula_sum 'Ho2 Ni12 Ge7'
_cell_length_a 9.411
_cell_length_b 9.411
_cell_length_c 3.781
_cell_angle_alpha 90.00
_cell_angle_beta 90.00
_cell_angle_gamma 120.00
_space_group_name_H-M_alt 'P 1'
_space_group_IT_number 1
loop_
_space_group_symop_operation_xyz
'x,y,z'
loop_
_atom_site_label
_atom_site_type_symbol
_atom_site_fract_x
_atom_site_fract_y
_atom_site_fract_z
Ho1 Ho 0.000 0.000 0.000
Ho2 Ho 0.333 0.667 0.500
Ni1 Ni 0.038 0.283 0.500
Ni2 Ni 0.115 0.730 0.000
Ni3 Ni 0.245 0.962 0.500
Ni4 Ni 0.270 0.386 0.000
Ni5 Ni 0.384 0.182 0.000
Ni6 Ni 0.555 0.425 0.500
Ni7 Ni 0.575 0.130 0.500
Ni8 Ni 0.614 0.885 0.000
Ni9 Ni 0.717 0.755 0.500
Ni10 Ni 0.798 0.616 0.000
Ni11 Ni 0.818 0.202 0.000
Ni12 Ni 0.870 0.445 0.500
Ge1 Ge 0.062 0.457 0.000
Ge2 Ge 0.261 0.228 0.500
Ge3 Ge 0.395 0.938 0.000
Ge4 Ge 0.543 0.605 0.000
Ge5 Ge 0.667 0.333 0.000
Ge6 Ge 0.772 0.032 0.500
Ge7 Ge 0.968 0.739 0.500
# V ... 13.812 Å³ per atom
# Space-group type ... P-6, No. 174
# Final energy ... -5.774 eV/atom
# Formation energy from the elements ... -0.495 eV per atom
# DOS at the Fermi energy ... 11.28 states/eV per cell

# Nd2InAu9 | Alexandria | PBE | optimized geometry
data_Nd2InAu9
_chemical_formula_sum 'Nd2 In1 Au9'
_cell_length_a 9.714
_cell_length_b 9.714
_cell_length_c 9.714
_cell_angle_alpha 34.39
_cell_angle_beta 34.39
_cell_angle_gamma 34.39
_space_group_name_H-M_alt 'P 1'
_space_group_IT_number 1
loop_
_space_group_symop_operation_xyz
'x,y,z'
loop_
_atom_site_label
_atom_site_type_symbol
_atom_site_fract_x
_atom_site_fract_y
_atom_site_fract_z
Nd1 Nd 0.137 0.137 0.137
Nd2 Nd 0.863 0.863 0.863
In1 In 0.000 0.000 0.000
Au1 Au 0.079 0.589 0.589
Au2 Au 0.334 0.334 0.334
Au3 Au 0.411 0.411 0.921
Au4 Au 0.411 0.921 0.411
Au5 Au 0.500 0.500 0.500
Au6 Au 0.589 0.079 0.589
Au7 Au 0.589 0.589 0.079
Au8 Au 0.666 0.666 0.666
Au9 Au 0.921 0.411 0.411
# V ... 21.744 Å³ per atom
# Space-group type ... R-3m, No. 166
# Final energy ... -3.815 eV/atom
# Formation energy from the elements ... -0.334 eV per atom
# DOS at the Fermi energy ... 7.35 states/eV per cell

# KTlOs | Alexandria | PBE | optimized geometry
data_KTlOs
_chemical_formula_sum 'K2 Tl2 Os2'
_cell_length_a 3.025
_cell_length_b 4.485
_cell_length_c 12.275
_cell_angle_alpha 90.00
_cell_angle_beta 90.00
_cell_angle_gamma 90.00
_space_group_name_H-M_alt 'P 1'
_space_group_IT_number 1
loop_
_space_group_symop_operation_xyz
'x,y,z'
loop_
_atom_site_label
_atom_site_type_symbol
_atom_site_fract_x
_atom_site_fract_y
_atom_site_fract_z
K1 K 0.000 0.000 0.000
K2 K 0.500 0.500 0.500
Tl1 Tl 0.000 0.000 0.265
Tl2 Tl 0.500 0.500 0.765
Os1 Os 0.000 0.000 0.735
Os2 Os 0.500 0.500 0.235
# V ... 27.756 Å³ per atom
# Space-group type ... Imm2, No. 44
# Final energy ... -3.984 eV/atom
# Formation energy from the elements ... 0.913 eV per atom
# DOS at the Fermi energy ... 3.55 states/eV per cell

# V2HPt | Alexandria | PBE | optimized geometry
data_V2HPt
_chemical_formula_sum 'V2 H1 Pt1'
_cell_length_a 4.078
_cell_length_b 4.078
_cell_length_c 3.329
_cell_angle_alpha 90.00
_cell_angle_beta 90.00
_cell_angle_gamma 120.00
_space_group_name_H-M_alt 'P 1'
_space_group_IT_number 1
loop_
_space_group_symop_operation_xyz
'x,y,z'
loop_
_atom_site_label
_atom_site_type_symbol
_atom_site_fract_x
_atom_site_fract_y
_atom_site_fract_z
V1 V 0.333 0.667 0.000
V2 V 0.667 0.333 0.000
H1 H 0.000 0.000 0.000
Pt1 Pt 0.000 0.000 0.500
# V ... 11.985 Å³ per atom
# Space-group type ... P6/mmm, No. 191
# Final energy ... -6.661 eV/atom
# DOS at the Fermi energy ... 3.31 states/eV per cell

# PrDy6Er4 | Alexandria | PBE | optimized geometry
data_PrDy6Er4
_chemical_formula_sum 'Pr1 Dy6 Er4'
_cell_length_a 8.468
_cell_length_b 8.468
_cell_length_c 8.468
_cell_angle_alpha 126.82
_cell_angle_beta 126.82
_cell_angle_gamma 78.54
_space_group_name_H-M_alt 'P 1'
_space_group_IT_number 1
loop_
_space_group_symop_operation_xyz
'x,y,z'
loop_
_atom_site_label
_atom_site_type_symbol
_atom_site_fract_x
_atom_site_fract_y
_atom_site_fract_z
Pr1 Pr 0.000 0.000 0.000
Dy1 Dy 0.000 0.500 0.500
Dy2 Dy 0.055 0.571 0.000
Dy3 Dy 0.429 0.429 0.485
Dy4 Dy 0.500 0.000 0.500
Dy5 Dy 0.571 0.055 0.000
Dy6 Dy 0.945 0.945 0.515
Er1 Er 0.260 0.260 0.676
Er2 Er 0.416 0.740 0.000
Er3 Er 0.584 0.584 0.324
Er4 Er 0.740 0.416 0.000
# V ... 34.240 Å³ per atom
# Space-group type ... I-42m, No. 121
# Final energy ... -4.174 eV/atom
# Formation energy from the elements ... 0.430 eV per atom
# DOS at the Fermi energy ... 14.86 states/eV per cell

# AcPdAu2O6 | Alexandria | PBE | optimized geometry
data_AcPdAu2O6
_chemical_formula_sum 'Ac1 Pd1 Au2 O6'
_cell_length_a 6.303
_cell_length_b 6.303
_cell_length_c 6.303
_cell_angle_alpha 54.04
_cell_angle_beta 54.04
_cell_angle_gamma 54.04
_space_group_name_H-M_alt 'P 1'
_space_group_IT_number 1
loop_
_space_group_symop_operation_xyz
'x,y,z'
loop_
_atom_site_label
_atom_site_type_symbol
_atom_site_fract_x
_atom_site_fract_y
_atom_site_fract_z
Ac1 Ac 0.000 0.000 0.000
Pd1 Pd 0.500 0.500 0.500
Au1 Au 0.237 0.237 0.237
Au2 Au 0.763 0.763 0.763
O1 O 0.143 0.710 0.421
O2 O 0.290 0.579 0.857
O3 O 0.421 0.143 0.710
O4 O 0.579 0.857 0.290
O5 O 0.710 0.421 0.143
O6 O 0.857 0.290 0.579
# V ... 15.238 Å³ per atom
# Space-group type ... R-3, No. 148
# Final energy ... -5.258 eV/atom
# DOS at the Fermi energy ... 6.97 states/eV per cell
# E_form (uncorrected) ... -698 meV/atom

# Nd4Er | Alexandria | PBE | optimized geometry
data_Nd4Er
_chemical_formula_sum 'Nd8 Er2'
_cell_length_a 3.652
_cell_length_b 3.652
_cell_length_c 25.739
_cell_angle_alpha 90.00
_cell_angle_beta 90.00
_cell_angle_gamma 90.00
_space_group_name_H-M_alt 'P 1'
_space_group_IT_number 1
loop_
_space_group_symop_operation_xyz
'x,y,z'
loop_
_atom_site_label
_atom_site_type_symbol
_atom_site_fract_x
_atom_site_fract_y
_atom_site_fract_z
Nd1 Nd 0.000 0.000 0.097
Nd2 Nd 0.000 0.000 0.301
Nd3 Nd 0.000 0.000 0.699
Nd4 Nd 0.000 0.000 0.903
Nd5 Nd 0.500 0.500 0.199
Nd6 Nd 0.500 0.500 0.403
Nd7 Nd 0.500 0.500 0.597
Nd8 Nd 0.500 0.500 0.801
Er1 Er 0.000 0.000 0.500
Er2 Er 0.500 0.500 0.000
# V ... 34.324 Å³ per atom
# Space-group type ... I4/mmm, No. 139
# Final energy ... -4.708 eV/atom
# Formation energy from the elements ... 0.019 eV per atom
# DOS at the Fermi energy ... 14.36 states/eV per cell

# TaHSe2Cl | Alexandria | PBE | optimized geometry
data_TaHSe2Cl
_chemical_formula_sum 'Ta1 H1 Se2 Cl1'
_cell_length_a 5.005
_cell_length_b 5.005
_cell_length_c 3.883
_cell_angle_alpha 90.00
_cell_angle_beta 90.00
_cell_angle_gamma 90.00
_space_group_name_H-M_alt 'P 1'
_space_group_IT_number 1
loop_
_space_group_symop_operation_xyz
'x,y,z'
loop_
_atom_site_label
_atom_site_type_symbol
_atom_site_fract_x
_atom_site_fract_y
_atom_site_fract_z
Ta1 Ta 0.000 0.000 0.000
H1 H 0.000 0.000 0.500
Se1 Se 0.000 0.500 0.000
Se2 Se 0.500 0.000 0.000
Cl1 Cl 0.500 0.500 0.500
# V ... 19.454 Å³ per atom
# Space-group type ... P4/mmm, No. 123
# Final energy ... -4.795 eV/atom
# DOS at the Fermi energy ... 4.77 states/eV per cell

# USiIr | Alexandria | PBE | optimized geometry
data_USiIr
_chemical_formula_sum 'U4 Si4 Ir4'
_cell_length_a 7.398
_cell_length_b 3.877
_cell_length_c 7.114
_cell_angle_alpha 90.00
_cell_angle_beta 90.00
_cell_angle_gamma 90.00
_space_group_name_H-M_alt 'P 1'
_space_group_IT_number 1
loop_
_space_group_symop_operation_xyz
'x,y,z'
loop_
_atom_site_label
_atom_site_type_symbol
_atom_site_fract_x
_atom_site_fract_y
_atom_site_fract_z
U1 U 0.001 0.250 0.134
U2 U 0.499 0.750 0.634
U3 U 0.501 0.250 0.366
U4 U 0.999 0.750 0.866
Si1 Si 0.200 0.750 0.372
Si2 Si 0.300 0.250 0.872
Si3 Si 0.700 0.750 0.128
Si4 Si 0.800 0.250 0.628
Ir1 Ir 0.132 0.250 0.570
Ir2 Ir 0.368 0.750 0.070
Ir3 Ir 0.632 0.250 0.930
Ir4 Ir 0.868 0.750 0.430
# V ... 17.003 Å³ per atom
# Space-group type ... Pnma, No. 62
# Final energy ... -9.232 eV/atom
# DOS at the Fermi energy ... 12.29 states/eV per cell
# E_form (uncorrected) ... -707 meV/atom

# MoOs4Cl | Alexandria | PBE | optimized geometry
data_MoOs4Cl
_chemical_formula_sum 'Mo1 Os4 Cl1'
_cell_length_a 5.185
_cell_length_b 5.185
_cell_length_c 5.185
_cell_angle_alpha 60.00
_cell_angle_beta 60.00
_cell_angle_gamma 60.00
_space_group_name_H-M_alt 'P 1'
_space_group_IT_number 1
loop_
_space_group_symop_operation_xyz
'x,y,z'
loop_
_atom_site_label
_atom_site_type_symbol
_atom_site_fract_x
_atom_site_fract_y
_atom_site_fract_z
Mo1 Mo 0.000 0.000 0.000
Os1 Os 0.375 0.375 0.375
Os2 Os 0.375 0.375 0.875
Os3 Os 0.375 0.875 0.375
Os4 Os 0.875 0.375 0.375
Cl1 Cl 0.750 0.750 0.750
# V ... 16.429 Å³ per atom
# Space-group type ... F-43m, No. 216
# Final energy ... -8.386 eV/atom
# DOS at the Fermi energy ... 10.03 states/eV per cell
# E_form (uncorrected) ... 1213 meV/atom

# Rb2Fe2I7 | Alexandria | PBE | optimized geometry
data_Rb2Fe2I7
_chemical_formula_sum 'Rb2 Fe2 I7'
_cell_length_a 9.135
_cell_length_b 9.135
_cell_length_c 7.393
_cell_angle_alpha 95.63
_cell_angle_beta 95.63
_cell_angle_gamma 101.85
_space_group_name_H-M_alt 'P 1'
_space_group_IT_number 1
loop_
_space_group_symop_operation_xyz
'x,y,z'
loop_
_atom_site_label
_atom_site_type_symbol
_atom_site_fract_x
_atom_site_fract_y
_atom_site_fract_z
Rb1 Rb 0.209 0.791 0.000
Rb2 Rb 0.791 0.209 0.000
Fe1 Fe 0.282 0.282 0.569
Fe2 Fe 0.718 0.718 0.431
I1 I 0.103 0.405 0.751
I2 I 0.142 0.142 0.263
I3 I 0.405 0.103 0.751
I4 I 0.500 0.500 0.500
I5 I 0.595 0.897 0.249
I6 I 0.858 0.858 0.737
I7 I 0.897 0.595 0.249
# V ... 54.221 Å³ per atom
# Space-group type ... C2/m, No. 12
# Final energy ... -3.323 eV/atom
# DOS at the Fermi energy ... 6.91 states/eV per cell
# E_form (uncorrected) ... -622 meV/atom

# Rb2HgAuO | Alexandria | PBE | optimized geometry
data_Rb2HgAuO
_chemical_formula_sum 'Rb2 Hg1 Au1 O1'
_cell_length_a 6.016
_cell_length_b 6.016
_cell_length_c 4.243
_cell_angle_alpha 90.00
_cell_angle_beta 90.00
_cell_angle_gamma 90.00
_space_group_name_H-M_alt 'P 1'
_space_group_IT_number 1
loop_
_space_group_symop_operation_xyz
'x,y,z'
loop_
_atom_site_label
_atom_site_type_symbol
_atom_site_fract_x
_atom_site_fract_y
_atom_site_fract_z
Rb1 Rb 0.000 0.500 0.000
Rb2 Rb 0.500 0.000 0.000
Hg1 Hg 0.000 0.000 0.500
Au1 Au 0.500 0.500 0.500
O1 O 0.500 0.500 0.000
# V ... 30.718 Å³ per atom
# Space-group type ... P4/mmm, No. 123
# Final energy ... -2.572 eV/atom
# DOS at the Fermi energy ... 2.37 states/eV per cell
# E_form (uncorrected) ... -477 meV/atom